Version P
First-principles (PBE) data for an optimized crystal structure of ZnPd2Pt8, as listed in Alexandria.

Structure (CIF):
```
data_ZnPd2Pt8
_symmetry_space_group_name_H-M 'C 1 2/m 1'
_symmetry_Int_Tables_number 12
_symmetry_space_group_name_Hall '-C 2y'
_cell_length_a 14.270
_cell_length_b 3.941
_cell_length_c 6.246
_cell_angle_alpha 90.00
_cell_angle_beta 105.17
_cell_angle_gamma 90.00
loop_
_atom_site_label
_atom_site_type_symbol
_atom_site_fract_x
_atom_site_fract_y
_atom_site_fract_z
Zn1 Zn 0.000 0.000 0.000
Pd1 Pd 0.224 0.500 0.633
Pt1 Pt 0.045 0.500 0.727
Pt2 Pt 0.090 0.000 0.443
Pt3 Pt 0.133 0.500 0.175
Pt4 Pt 0.180 0.000 0.911
```

=====

Version Q
First-principles (PBE) data for an optimized crystal structure of ZnPd2Pt8, as listed in Alexandria.

Structure (CIF):
```
data_ZnPd2Pt8
_symmetry_space_group_name_H-M 'C 1 2/m 1'
_symmetry_Int_Tables_number 12
_symmetry_space_group_name_Hall '-C 2y'
_cell_length_a 11.839
_cell_length_b 6.922
_cell_length_c 4.701
_cell_angle_alpha 90.00
_cell_angle_beta 105.02
_cell_angle_gamma 90.00
loop_
_atom_site_label
_atom_site_type_symbol
_atom_site_fract_x
_atom_site_fract_y
_atom_site_fract_z
Zn1 Zn 0.000 0.000 0.000
Pd1 Pd 0.122 0.000 0.504
Pt1 Pt 0.072 0.303 0.804
Pt2 Pt 0.140 0.500 0.349
Pt3 Pt 0.228 0.000 0.067
```

=====

Short version: version P is the most stable of them.

=====

Version P
First-principles (PBE) data for an optimized crystal structure of Zn2Pd8Pt, as listed in Alexandria.

Structure (CIF):
```
data_Zn2Pd8Pt
_symmetry_space_group_name_H-M 'C 1 2/m 1'
_symmetry_Int_Tables_number 12
_symmetry_space_group_name_Hall '-C 2y'
_cell_length_a 14.133
_cell_length_b 3.955
_cell_length_c 6.160
_cell_angle_alpha 90.00
_cell_angle_beta 105.19
_cell_angle_gamma 90.00
loop_
_atom_site_label
_atom_site_type_symbol
_atom_site_fract_x
_atom_site_fract_y
_atom_site_fract_z
Zn1 Zn 0.138 0.000 0.183
Pd1 Pd 0.044 0.000 0.734
Pd2 Pd 0.091 0.500 0.450
Pd3 Pd 0.182 0.500 0.911
Pd4 Pd 0.228 0.000 0.634
Pt1 Pt 0.000 0.500 0.000
```

=====

Version Q
First-principles (PBE) data for an optimized crystal structure of Zn2Pd8Pt, as listed in Alexandria.

Structure (CIF):
```
data_Zn2Pd8Pt
_symmetry_space_group_name_H-M 'C 1 2/m 1'
_symmetry_Int_Tables_number 12
_symmetry_space_group_name_Hall '-C 2y'
_cell_length_a 12.140
_cell_length_b 6.813
_cell_length_c 4.690
_cell_angle_alpha 90.00
_cell_angle_beta 106.56
_cell_angle_gamma 90.00
loop_
_atom_site_label
_atom_site_type_symbol
_atom_site_fract_x
_atom_site_fract_y
_atom_site_fract_z
Zn1 Zn 0.136 0.000 0.019
Pd1 Pd 0.072 0.303 0.277
Pd2 Pd 0.140 0.500 0.825
Pd3 Pd 0.227 0.000 0.576
Pt1 Pt 0.000 0.000 0.500
```

=====

Short version: version P is the most stable of them.

=====

Version P
First-principles (PBE) data for an optimized crystal structure of Zn2PdPt3, as listed in Alexandria.

Structure (CIF):
```
data_Zn2PdPt3
_symmetry_space_group_name_H-M 'I b a m'
_symmetry_Int_Tables_number 72
_symmetry_space_group_name_Hall '-I 2 2c'
_cell_length_a 5.400
_cell_length_b 13.037
_cell_length_c 5.392
_cell_angle_alpha 90.00
_cell_angle_beta 90.00
_cell_angle_gamma 90.00
loop_
_atom_site_label
_atom_site_type_symbol
_atom_site_fract_x
_atom_site_fract_y
_atom_site_fract_z
Zn1 Zn 0.241 0.145 0.000
Pd1 Pd 0.000 0.000 0.250
Pt1 Pt 0.000 0.500 0.250
Pt2 Pt 0.241 0.337 0.000
```

=====

Version Q
First-principles (PBE) data for an optimized crystal structure of Zn2PdPt3, as listed in Alexandria.

Structure (CIF):
```
data_Zn2PdPt3
_symmetry_space_group_name_H-M 'C 1 2/m 1'
_symmetry_Int_Tables_number 12
_symmetry_space_group_name_Hall '-C 2y'
_cell_length_a 12.231
_cell_length_b 4.639
_cell_length_c 7.250
_cell_angle_alpha 90.00
_cell_angle_beta 117.23
_cell_angle_gamma 90.00
loop_
_atom_site_label
_atom_site_type_symbol
_atom_site_fract_x
_atom_site_fract_y
_atom_site_fract_z
Zn1 Zn 0.035 0.000 0.197
Zn2 Zn 0.210 0.500 0.558
Pd1 Pd 0.127 0.500 0.137
Pt1 Pt 0.041 0.500 0.711
Pt2 Pt 0.126 0.000 0.591
Pt3 Pt 0.201 0.000 0.027
```

=====

Short version: version Q is the most stable of them.

=====

Version P
First-principles (PBE) data for an optimized crystal structure of ZnPd8Pt2, as listed in Alexandria.

Structure (CIF):
```
data_ZnPd8Pt2
_symmetry_space_group_name_H-M 'C 1 2/m 1'
_symmetry_Int_Tables_number 12
_symmetry_space_group_name_Hall '-C 2y'
_cell_length_a 9.782
_cell_length_b 8.840
_cell_length_c 4.686
_cell_angle_alpha 90.00
_cell_angle_beta 106.87
_cell_angle_gamma 90.00
loop_
_atom_site_label
_atom_site_type_symbol
_atom_site_fract_x
_atom_site_fract_y
_atom_site_fract_z
Zn1 Zn 0.000 0.000 0.000
Pd1 Pd 0.077 0.500 0.293
Pd2 Pd 0.084 0.244 0.800
Pd3 Pd 0.228 0.500 0.878
Pt1 Pt 0.141 0.000 0.539
```

=====

Version Q
First-principles (PBE) data for an optimized crystal structure of ZnPd8Pt2, as listed in Alexandria.

Structure (CIF):
```
data_ZnPd8Pt2
_symmetry_space_group_name_H-M 'C m m m'
_symmetry_Int_Tables_number 65
_symmetry_space_group_name_Hall '-C 2 2'
_cell_length_a 8.018
_cell_length_b 10.384
_cell_length_c 4.288
_cell_angle_alpha 90.00
_cell_angle_beta 90.00
_cell_angle_gamma 90.00
loop_
_atom_site_label
_atom_site_type_symbol
_atom_site_fract_x
_atom_site_fract_y
_atom_site_fract_z
Zn1 Zn 0.000 0.000 0.000
Pd1 Pd 0.000 0.241 0.000
Pd2 Pd 0.168 0.132 0.500
Pd3 Pd 0.174 0.500 0.000
Pt1 Pt 0.000 0.376 0.500
```

=====

Short version: version Q is the most stable of them.

=====

Version P
First-principles (PBE) data for an optimized crystal structure of Zn3Pd8Pt2, as listed in Alexandria.

Structure (CIF):
```
data_Zn3Pd8Pt2
_symmetry_space_group_name_H-M 'P -1'
_symmetry_Int_Tables_number 2
_symmetry_space_group_name_Hall '-P 1'
_cell_length_a 4.682
_cell_length_b 6.236
_cell_length_c 7.286
_cell_angle_alpha 83.64
_cell_angle_beta 80.01
_cell_angle_gamma 79.16
loop_
_atom_site_label
_atom_site_type_symbol
_atom_site_fract_x
_atom_site_fract_y
_atom_site_fract_z
Zn1 Zn 0.000 0.000 0.000
Zn2 Zn 0.372 0.289 0.784
Pd1 Pd 0.062 0.862 0.358
Pd2 Pd 0.206 0.582 0.075
Pd3 Pd 0.292 0.417 0.434
Pd4 Pd 0.440 0.131 0.149
Pt1 Pt 0.139 0.710 0.715
```

=====

Version Q
First-principles (PBE) data for an optimized crystal structure of Zn3Pd8Pt2, as listed in Alexandria.

Structure (CIF):
```
data_Zn3Pd8Pt2
_symmetry_space_group_name_H-M 'C 1 2/m 1'
_symmetry_Int_Tables_number 12
_symmetry_space_group_name_Hall '-C 2y'
_cell_length_a 10.063
_cell_length_b 9.148
_cell_length_c 4.731
_cell_angle_alpha 90.00
_cell_angle_beta 109.00
_cell_angle_gamma 90.00
loop_
_atom_site_label
_atom_site_type_symbol
_atom_site_fract_x
_atom_site_fract_y
_atom_site_fract_z
Zn1 Zn 0.000 0.000 0.000
Zn2 Zn 0.000 0.248 0.500
Pd1 Pd 0.069 0.500 0.296
Pd2 Pd 0.145 0.000 0.543
Pd3 Pd 0.153 0.243 0.150
Pt1 Pt 0.209 0.500 0.880
```

=====

Short version: version P is the most stable of them.

=====

Version P
First-principles (PBE) data for an optimized crystal structure of Zn2Pd3Pt4, as listed in Alexandria.

Structure (CIF):
```
data_Zn2Pd3Pt4
_symmetry_space_group_name_H-M 'C 1 2/m 1'
_symmetry_Int_Tables_number 12
_symmetry_space_group_name_Hall '-C 2y'
_cell_length_a 14.488
_cell_length_b 2.790
_cell_length_c 7.435
_cell_angle_alpha 90.00
_cell_angle_beta 114.61
_cell_angle_gamma 90.00
loop_
_atom_site_label
_atom_site_type_symbol
_atom_site_fract_x
_atom_site_fract_y
_atom_site_fract_z
Zn1 Zn 0.160 0.000 0.006
Pd1 Pd 0.000 0.500 0.000
Pd2 Pd 0.156 0.500 0.699
Pt1 Pt 0.017 0.000 0.334
Pt2 Pt 0.183 0.500 0.331
```

=====

Version Q
First-principles (PBE) data for an optimized crystal structure of Zn2Pd3Pt4, as listed in Alexandria.

Structure (CIF):
```
data_Zn2Pd3Pt4
_symmetry_space_group_name_H-M 'C 1 2/c 1'
_symmetry_Int_Tables_number 15
_symmetry_space_group_name_Hall '-C 2yc'
_cell_length_a 12.626
_cell_length_b 9.416
_cell_length_c 4.724
_cell_angle_alpha 90.00
_cell_angle_beta 99.44
_cell_angle_gamma 90.00
loop_
_atom_site_label
_atom_site_type_symbol
_atom_site_fract_x
_atom_site_fract_y
_atom_site_fract_z
Zn1 Zn 0.223 0.121 0.356
Pd1 Pd 0.000 0.131 0.250
Pd2 Pd 0.169 0.365 0.089
Pt1 Pt 0.058 0.378 0.533
Pt2 Pt 0.112 0.118 0.795
```

=====

Short version: version P is the most stable of them.

=====

Version P
First-principles (PBE) data for an optimized crystal structure of Zn2Pd4Pt, as listed in Alexandria.

Structure (CIF):
```
data_Zn2Pd4Pt
_symmetry_space_group_name_H-M 'P 1 21/m 1'
_symmetry_Int_Tables_number 11
_symmetry_space_group_name_Hall '-P 2yb'
_cell_length_a 6.555
_cell_length_b 5.332
_cell_length_c 6.880
_cell_angle_alpha 90.00
_cell_angle_beta 115.92
_cell_angle_gamma 90.00
loop_
_atom_site_label
_atom_site_type_symbol
_atom_site_fract_x
_atom_site_fract_y
_atom_site_fract_z
Zn1 Zn 0.050 0.250 0.345
Zn2 Zn 0.258 0.750 0.083
Pd1 Pd 0.202 0.250 0.061
Pd2 Pd 0.347 0.502 0.776
Pd3 Pd 0.477 0.250 0.489
Pt1 Pt 0.076 0.750 0.358
```

=====

Version Q
First-principles (PBE) data for an optimized crystal structure of Zn2Pd4Pt, as listed in Alexandria.

Structure (CIF):
```
data_Zn2Pd4Pt
_symmetry_space_group_name_H-M 'P 1 21/c 1'
_symmetry_Int_Tables_number 14
_symmetry_space_group_name_Hall '-P 2ybc'
_cell_length_a 4.809
_cell_length_b 9.034
_cell_length_c 5.034
_cell_angle_alpha 90.00
_cell_angle_beta 96.61
_cell_angle_gamma 90.00
loop_
_atom_site_label
_atom_site_type_symbol
_atom_site_fract_x
_atom_site_fract_y
_atom_site_fract_z
Zn1 Zn 0.133 0.096 0.143
Pd1 Pd 0.029 0.137 0.633
Pd2 Pd 0.419 0.673 0.531
Pt1 Pt 0.500 0.000 0.500
```

=====

Short version: version P is the most stable of them.

=====

Version P
First-principles (PBE) data for an optimized crystal structure of ZnPd5Pt, as listed in Alexandria.

Structure (CIF):
```
data_ZnPd5Pt
_symmetry_space_group_name_H-M 'P 4/m m m'
_symmetry_Int_Tables_number 123
_symmetry_space_group_name_Hall '-P 4 2'
_cell_length_a 3.953
_cell_length_b 3.953
_cell_length_c 7.184
_cell_angle_alpha 90.00
_cell_angle_beta 90.00
_cell_angle_gamma 90.00
loop_
_atom_site_label
_atom_site_type_symbol
_atom_site_fract_x
_atom_site_fract_y
_atom_site_fract_z
Zn1 Zn 0.000 0.000 0.000
Pd1 Pd 0.000 0.000 0.500
Pd2 Pd 0.000 0.500 0.223
Pt1 Pt 0.500 0.500 0.500
```

=====

Version Q
First-principles (PBE) data for an optimized crystal structure of ZnPd5Pt, as listed in Alexandria.

Structure (CIF):
```
data_ZnPd5Pt
_symmetry_space_group_name_H-M 'C 1 2/c 1'
_symmetry_Int_Tables_number 15
_symmetry_space_group_name_Hall '-C 2yc'
_cell_length_a 9.382
_cell_length_b 4.943
_cell_length_c 9.744
_cell_angle_alpha 90.00
_cell_angle_beta 97.83
_cell_angle_gamma 90.00
loop_
_atom_site_label
_atom_site_type_symbol
_atom_site_fract_x
_atom_site_fract_y
_atom_site_fract_z
Zn1 Zn 0.000 0.241 0.250
Pd1 Pd 0.000 0.264 0.750
Pd2 Pd 0.145 0.489 0.045
Pd3 Pd 0.237 0.010 0.686
Pt1 Pt 0.000 0.000 0.000
```

=====

Short version: version P is the most stable of them.

=====

Version P
First-principles (PBE) data for an optimized crystal structure of ZrZnPdPt, as listed in Alexandria.

Structure (CIF):
```
data_ZrZnPdPt
_symmetry_space_group_name_H-M 'I -4 m 2'
_symmetry_Int_Tables_number 119
_symmetry_space_group_name_Hall 'I -4 -2'
_cell_length_a 4.134
_cell_length_b 4.134
_cell_length_c 7.738
_cell_angle_alpha 90.00
_cell_angle_beta 90.00
_cell_angle_gamma 90.00
loop_
_atom_site_label
_atom_site_type_symbol
_atom_site_fract_x
_atom_site_fract_y
_atom_site_fract_z
Zr1 Zr 0.000 0.000 0.000
Zn1 Zn 0.000 0.000 0.500
Pd1 Pd 0.000 0.500 0.750
Pt1 Pt 0.000 0.500 0.250
```

=====

Version Q
First-principles (PBE) data for an optimized crystal structure of ZrZnPdPt, as listed in Alexandria.

Structure (CIF):
```
data_ZrZnPdPt
_symmetry_space_group_name_H-M 'F -4 3 m'
_symmetry_Int_Tables_number 216
_symmetry_space_group_name_Hall 'F -4 2 3'
_cell_length_a 6.454
_cell_length_b 6.454
_cell_length_c 6.454
_cell_angle_alpha 90.00
_cell_angle_beta 90.00
_cell_angle_gamma 90.00
loop_
_atom_site_label
_atom_site_type_symbol
_atom_site_fract_x
_atom_site_fract_y
_atom_site_fract_z
Zr1 Zr 0.000 0.000 0.000
Zn1 Zn 0.000 0.000 0.500
Pd1 Pd 0.250 0.250 0.250
Pt1 Pt 0.250 0.250 0.750
```

=====

Short version: version P is the most stable of them.

=====

Version P
First-principles (PBE) data for an optimized crystal structure of ZrPd6Pt2, as listed in Alexandria.

Structure (CIF):
```
data_ZrPd6Pt2
_symmetry_space_group_name_H-M 'C 1 2/m 1'
_symmetry_Int_Tables_number 12
_symmetry_space_group_name_Hall '-C 2y'
_cell_length_a 8.921
_cell_length_b 4.027
_cell_length_c 8.413
_cell_angle_alpha 90.00
_cell_angle_beta 107.96
_cell_angle_gamma 90.00
loop_
_atom_site_label
_atom_site_type_symbol
_atom_site_fract_x
_atom_site_fract_y
_atom_site_fract_z
Zr1 Zr 0.000 0.000 0.000
Pd1 Pd 0.001 0.000 0.668
Pd2 Pd 0.166 0.500 0.553
Pd3 Pd 0.166 0.500 0.885
Pt1 Pt 0.166 0.500 0.222
```

=====

Version Q
First-principles (PBE) data for an optimized crystal structure of ZrPd6Pt2, as listed in Alexandria.

Structure (CIF):
```
data_ZrPd6Pt2
_symmetry_space_group_name_H-M 'C 1 2/m 1'
_symmetry_Int_Tables_number 12
_symmetry_space_group_name_Hall '-C 2y'
_cell_length_a 6.212
_cell_length_b 12.772
_cell_length_c 3.949
_cell_angle_alpha 90.00
_cell_angle_beta 108.32
_cell_angle_gamma 90.00
loop_
_atom_site_label
_atom_site_type_symbol
_atom_site_fract_x
_atom_site_fract_y
_atom_site_fract_z
Zr1 Zr 0.000 0.000 0.000
Pd1 Pd 0.163 0.341 0.833
Pd2 Pd 0.166 0.500 0.333
Pt1 Pt 0.000 0.156 0.500
```

=====

Short version: version P is the most stable of them.